Entry 1:
LiHBr2: optimized geometry, PBE.

```
data_LiHBr2
_space_group_name_H-M_alt 'I -4 2 d'
_space_group_IT_number 122
_space_group_name_Hall 'I -4 2bw'
_cell_length_a 5.582
_cell_length_b 5.582
_cell_length_c 10.234
_cell_angle_alpha 90.00
_cell_angle_beta 90.00
_cell_angle_gamma 90.00
loop_
_atom_site_label
_atom_site_type_symbol
_atom_site_fract_x
_atom_site_fract_y
_atom_site_fract_z
_atom_site_occupancy
Li1 Li 0.000 0.000 0.000 1
H1 H 0.000 0.000 0.500 1
Br1 Br 0.195 0.250 0.625 1
```

Values from the calculation:
Polymorph energy (0 for the lowest one) ... 324 meV per atom
DOS(E_F) ... 0.00 states/eV/cell

***

Entry 2:
Li2HBr: optimized geometry, PBE.

```
data_Li2HBr
_space_group_name_H-M_alt 'R 3 m'
_space_group_IT_number 160
_space_group_name_Hall 'R 3 -2"'
_cell_length_a 3.5190
_cell_length_b 3.5190
_cell_length_c 17.6264
_cell_angle_alpha 90.00
_cell_angle_beta 90.00
_cell_angle_gamma 120.00
loop_
_atom_site_label
_atom_site_type_symbol
_atom_site_fract_x
_atom_site_fract_y
_atom_site_fract_z
_atom_site_occupancy
Li1 Li 0.0000 0.0000 0.0000 1
Li2 Li 0.0000 0.0000 0.1935 1
H1 H 0.0000 0.0000 0.6021 1
Br1 Br 0.0000 0.0000 0.4280 1
```

Values from the calculation:
Polymorph energy (0 for the lowest one) ... 118 meV per atom
DOS(E_F) ... 0.00 states/eV/cell

***

Entry 3:
Li4H3Br4: optimized geometry, PBE.

```
data_Li4H3Br4
_space_group_name_H-M_alt 'A m m 2'
_space_group_IT_number 38
_space_group_name_Hall 'A 2 -2'
_cell_length_a 11.107
_cell_length_b 4.731
_cell_length_c 7.777
_cell_angle_alpha 90.00
_cell_angle_beta 90.00
_cell_angle_gamma 90.00
loop_
_atom_site_label
_atom_site_type_symbol
_atom_site_fract_x
_atom_site_fract_y
_atom_site_fract_z
_atom_site_occupancy
Li1 Li 0.000 0.000 0.000 1
Li2 Li 0.249 0.000 0.655 1
Li3 Li 0.500 0.000 0.996 1
H1 H 0.139 0.000 0.332 1
H2 H 0.500 0.000 0.308 1
Br1 Br 0.000 0.000 0.659 1
Br2 Br 0.253 0.000 0.996 1
Br3 Br 0.500 0.000 0.651 1
```

Values from the calculation:
E ... -2.698 eV/atom

***

Entry 4:
LiH2Br: optimized geometry, PBE.

```
data_LiH2Br
_space_group_name_H-M_alt 'F m -3 m'
_space_group_IT_number 225
_space_group_name_Hall '-F 4 2 3'
_cell_length_a 5.636
_cell_length_b 5.636
_cell_length_c 5.636
_cell_angle_alpha 90.00
_cell_angle_beta 90.00
_cell_angle_gamma 90.00
loop_
_atom_site_label
_atom_site_type_symbol
_atom_site_fract_x
_atom_site_fract_y
_atom_site_fract_z
_atom_site_occupancy
Li1 Li 0.000 0.000 0.000 1
H1 H 0.250 0.250 0.250 1
Br1 Br 0.000 0.000 0.500 1
```

Values from the calculation:
Polymorph energy (0 for the lowest one) ... 1111 meV per atom
DOS(E_F) ... 3.58 states/eV/cell

***

Entry 5:
LiHBr3: optimized geometry, PBE.

```
data_LiHBr3
_space_group_name_H-M_alt 'P m -3 m'
_space_group_IT_number 221
_space_group_name_Hall '-P 4 2 3'
_cell_length_a 5.179
_cell_length_b 5.179
_cell_length_c 5.179
_cell_angle_alpha 90.00
_cell_angle_beta 90.00
_cell_angle_gamma 90.00
loop_
_atom_site_label
_atom_site_type_symbol
_atom_site_fract_x
_atom_site_fract_y
_atom_site_fract_z
_atom_site_occupancy
Li1 Li 0.000 0.000 0.000 1
H1 H 0.500 0.500 0.500 1
Br1 Br 0.000 0.000 0.500 1
```

Values from the calculation:
Polymorph energy (0 for the lowest one) ... 834 meV per atom
DOS(E_F) ... 6.42 states/eV/cell

***

Entry 6:
Li2HBr: optimized geometry, PBE.

```
data_Li2HBr
_space_group_name_H-M_alt 'R -3 m'
_space_group_IT_number 166
_space_group_name_Hall '-R 3 2"'
_cell_length_a 3.5483
_cell_length_b 3.5483
_cell_length_c 16.7672
_cell_angle_alpha 90.00
_cell_angle_beta 90.00
_cell_angle_gamma 120.00
loop_
_atom_site_label
_atom_site_type_symbol
_atom_site_fract_x
_atom_site_fract_y
_atom_site_fract_z
_atom_site_occupancy
Li1 Li 0.0000 0.0000 0.2353 1
H1 H 0.0000 0.0000 0.5000 1
Br1 Br 0.0000 0.0000 0.0000 1
```

Values from the calculation:
Polymorph energy (0 for the lowest one) ... 72 meV per atom
DOS(E_F) ... 0.00 states/eV/cell

***

Entry 7:
LiHBr3: optimized geometry, PBE.

```
data_LiHBr3
_space_group_name_H-M_alt 'P m -3 m'
_space_group_IT_number 221
_space_group_name_Hall '-P 4 2 3'
_cell_length_a 4.816
_cell_length_b 4.816
_cell_length_c 4.816
_cell_angle_alpha 90.00
_cell_angle_beta 90.00
_cell_angle_gamma 90.00
loop_
_atom_site_label
_atom_site_type_symbol
_atom_site_fract_x
_atom_site_fract_y
_atom_site_fract_z
_atom_site_occupancy
Li1 Li 0.000 0.000 0.000 1
H1 H 0.500 0.500 0.500 1
Br1 Br 0.000 0.500 0.500 1
```

Values from the calculation:
Polymorph energy (0 for the lowest one) ... 691 meV per atom
DOS(E_F) ... 5.41 states/eV/cell

***

Entry 8:
Li2HBr: optimized geometry, PBE.

```
data_Li2HBr
_space_group_name_H-M_alt 'F m -3 m'
_space_group_IT_number 225
_space_group_name_Hall '-F 4 2 3'
_cell_length_a 6.240
_cell_length_b 6.240
_cell_length_c 6.240
_cell_angle_alpha 90.00
_cell_angle_beta 90.00
_cell_angle_gamma 90.00
loop_
_atom_site_label
_atom_site_type_symbol
_atom_site_fract_x
_atom_site_fract_y
_atom_site_fract_z
_atom_site_occupancy
Li1 Li 0.250 0.250 0.250 1
H1 H 0.000 0.000 0.000 1
Br1 Br 0.000 0.000 0.500 1
```

Values from the calculation:
Polymorph energy (0 for the lowest one) ... 285 meV per atom
DOS(E_F) ... 0.00 states/eV/cell

***

Entry 9:
LiHBr2: optimized geometry, PBE.

```
data_LiHBr2
_space_group_name_H-M_alt 'C 1 c 1'
_space_group_IT_number 9
_space_group_name_Hall 'C -2yc'
_cell_length_a 13.002
_cell_length_b 4.142
_cell_length_c 7.215
_cell_angle_alpha 90.00
_cell_angle_beta 114.86
_cell_angle_gamma 90.00
loop_
_atom_site_label
_atom_site_type_symbol
_atom_site_fract_x
_atom_site_fract_y
_atom_site_fract_z
_atom_site_occupancy
Li1 Li 0.000 0.250 0.000 1
H1 H 0.250 0.000 0.000 1
Br1 Br 0.121 0.192 0.417 1
Br2 Br 0.378 0.192 0.084 1
```

Values from the calculation:
Polymorph energy (0 for the lowest one) ... 12 meV per atom
DOS(E_F) ... 0.00 states/eV/cell